## P
Density functional theory data (PBE) for a relaxed structure of TmMnRe.

Values from the calculation:
Volume (Å³ per atom): 17.046
N(E_F) (states/eV per cell): 11.14

Cell lengths 5.308, 5.308, 8.499 Å; angles 90.00, 90.00, 121.34 degrees
Sites, in units of the cell vectors:
Mn 0.354 0.191 0.000
Mn 0.809 0.646 0.000
Mn 0.171 0.829 0.500
Mn 0.829 0.171 0.000
Tm 0.666 0.334 0.690
Tm 0.332 0.668 0.815
Tm 0.332 0.668 0.185
Tm 0.666 0.334 0.310
Re 0.003 0.997 0.232
Re 0.172 0.337 0.500
Re 0.003 0.997 0.768
Re 0.663 0.828 0.500

## Q
Density functional theory data (PBE) for a relaxed structure of TmMnRe.

Values from the calculation:
Volume (Å³ per atom): 17.023
N(E_F) (states/eV per cell): 4.44

Cell lengths 3.110, 4.427, 7.742 Å; angles 73.39, 90.00, 90.00 degrees
Sites, in units of the cell vectors:
Mn 0.250 0.447 0.105
Mn 0.750 0.553 0.895
Tm 0.250 0.100 0.799
Tm 0.750 0.900 0.201
Re 0.750 0.716 0.568
Re 0.250 0.284 0.432

Order from most stable to least stable according to the calculation: P, Q

## P
Density functional theory data (PBE) for a relaxed structure of MnV3Re.

Values from the calculation:
Volume (Å³ per atom): 13.129
N(E_F) (states/eV per cell): 7.13

Cell lengths 4.224, 4.226, 8.836 Å; angles 103.84, 90.00, 119.98 degrees
Sites, in units of the cell vectors:
Mn 0.349 0.698 0.547
Mn 0.651 0.302 0.453
V 0.554 0.108 0.163
V 0.952 0.904 0.356
V 0.746 0.492 0.738
V 0.254 0.508 0.262
V 0.446 0.892 0.837
V 0.048 0.096 0.644
Re 0.851 0.702 0.054
Re 0.149 0.298 0.946

## Q
Density functional theory data (PBE) for a relaxed structure of MnV3Re.

Values from the calculation:
Volume (Å³ per atom): 14.964
N(E_F) (states/eV per cell): 8.07

Cell lengths 4.214, 4.214, 4.214 Å; angles 90.00, 90.00, 90.00 degrees
Sites, in units of the cell vectors:
V 0.000 0.000 0.500
V 0.000 0.500 0.000
V 0.500 0.000 0.000
Mn 0.000 0.000 0.000
Re 0.500 0.500 0.500

Order from most stable to least stable according to the calculation: P, Q

## P
Density functional theory data (PBE) for a relaxed structure of MnRe3W.

Values from the calculation:
Volume (Å³ per atom): 20.551
N(E_F) (states/eV per cell): 7.32

Cell lengths 4.684, 4.684, 4.684 Å; angles 90.00, 90.00, 90.00 degrees
Sites, in units of the cell vectors:
W 0.000 0.000 0.000
Re 0.000 0.500 0.000
Re 0.500 0.000 0.000
Re 0.000 0.000 0.500
Mn 0.500 0.500 0.500

## Q
Density functional theory data (PBE) for a relaxed structure of MnRe3W.

Values from the calculation:
Volume (Å³ per atom): 16.750
N(E_F) (states/eV per cell): 5.98

Cell lengths 4.375, 4.375, 4.375 Å; angles 90.00, 90.00, 90.00 degrees
Sites, in units of the cell vectors:
Re 0.500 0.000 0.000
Re 0.000 0.500 0.000
Re 0.000 0.000 0.500
W 0.500 0.500 0.500
Mn 0.000 0.000 0.000

Order from most stable to least stable according to the calculation: Q, P

## P
Density functional theory data (PBE) for a relaxed structure of YMn2Re2.

Values from the calculation:
Volume (Å³ per atom): 17.131
N(E_F) (states/eV per cell): 6.22

Cell lengths 4.128, 4.128, 5.812 Å; angles 69.20, 69.20, 90.00 degrees
Sites, in units of the cell vectors:
Re 0.372 0.372 0.256
Re 0.628 0.628 0.744
Mn 0.250 0.750 0.500
Mn 0.750 0.250 0.500
Y 0.000 0.000 0.000

## Q
Density functional theory data (PBE) for a relaxed structure of YMn2Re2.

Values from the calculation:
Volume (Å³ per atom): 15.541
N(E_F) (states/eV per cell): 10.47

Cell lengths 7.509, 7.509, 2.756 Å; angles 90.00, 90.00, 90.00 degrees
Sites, in units of the cell vectors:
Y 0.000 0.000 0.000
Y 0.500 0.500 0.000
Mn 0.139 0.361 0.000
Mn 0.361 0.861 0.000
Mn 0.861 0.639 0.000
Mn 0.639 0.139 0.000
Re 0.350 0.150 0.500
Re 0.150 0.650 0.500
Re 0.650 0.850 0.500
Re 0.850 0.350 0.500

Order from most stable to least stable according to the calculation: P, Q